{"formula": "NpVOs", "functional": "PBE", "state": "optimized geometry", "lattice_angstrom": [[2.895, 0.000, 0.000], [0.000, 2.895, 0.000], [-1.447, -1.447, 5.754]], "species": ["Os", "V", "Np"], "fractional_positions": [[0.314, 0.314, 0.628], [0.684, 0.684, 0.368], [0.002, 0.002, 0.004]], "magmom_total_mub_per_atom": 0.003, "dos_at_fermi_per_ev_cell": 3.89, "dft_energy_ev_per_atom": -10.9996, "formation_enthalpy_0k_ev_per_atom": 0.10, "e_above_lowest_polymorph_ev_per_atom": 0.000}

=====

{"formula": "TeAsIN2", "functional": "PBE", "state": "optimized geometry", "lattice_angstrom": [[-2.738, 2.943, -0.368], [-1.776, -1.226, 3.411], [4.900, 5.106, 4.387]], "species": ["N", "N", "Te", "As", "I"], "fractional_positions": [[0.500, 0.000, 0.000], [0.000, 0.500, 0.000], [0.000, 0.000, 0.000], [0.500, 0.500, 0.500], [0.000, 0.000, 0.500]], "magmom_total_mub_per_atom": 0.044, "raw_formation_energy_ev_per_fu": 7.650, "dos_at_fermi_per_ev_cell": 3.25, "dft_energy_ev_per_atom": -3.6684, "e_above_lowest_polymorph_ev_per_atom": 0.008}

=====

{"formula": "LiTaBe3", "functional": "PBE", "state": "optimized geometry", "lattice_angstrom": [[-3.178, -0.381, 3.360], [-1.211, -4.176, -1.619], [3.157, -1.986, 2.761]], "species": ["Ta", "Be", "Be", "Be", "Li"], "fractional_positions": [[0.000, 0.000, 0.000], [0.500, 0.000, 0.000], [0.000, 0.000, 0.500], [0.000, 0.500, 0.000], [0.500, 0.500, 0.500]], "magmom_total_mub_per_atom": 0.007, "dos_at_fermi_per_ev_cell": 6.37, "dft_energy_ev_per_atom": -3.5114, "formation_enthalpy_0k_ev_per_atom": 1.48, "e_above_lowest_polymorph_ev_per_atom": 1.022}

=====

{"formula": "ScSb2Rh", "functional": "PBE", "state": "optimized geometry", "lattice_angstrom": [[0.737, 1.082, 4.704], [-1.892, 4.085, 1.891], [-3.700, -0.265, 3.175]], "species": ["Sb", "Sb", "Sc", "Rh"], "fractional_positions": [[0.750, 0.750, 0.750], [0.250, 0.250, 0.250], [0.000, 0.000, 0.000], [0.500, 0.500, 0.500]], "magmom_total_mub_per_atom": 0.132, "raw_formation_energy_ev_per_fu": -1.382, "dos_at_fermi_per_ev_cell": 5.20, "dft_energy_ev_per_atom": -5.8275}

=====

{"formula": "CuSb6Ir", "functional": "PBE", "state": "optimized geometry", "lattice_angstrom": [[7.759, -0.086, -2.711], [-3.891, 6.718, -2.699], [-0.009, 0.005, 8.152]], "species": ["Sb", "Sb", "Sb", "Sb", "Sb", "Sb", "Sb", "Sb", "Sb", "Sb", "Sb", "Sb", "Ir", "Ir", "Cu", "Cu"], "fractional_positions": [[0.187, 0.843, 0.342], [0.656, 0.813, 0.152], [0.501, 0.845, 0.658], [0.813, 0.157, 0.658], [0.661, 0.504, 0.848], [0.160, 0.348, 0.508], [0.151, 0.662, 0.813], [0.849, 0.338, 0.187], [0.339, 0.496, 0.152], [0.344, 0.187, 0.848], [0.499, 0.155, 0.342], [0.840, 0.652, 0.492], [0.500, 0.000, 0.000], [0.000, 0.500, 0.000], [0.500, 0.500, 0.500], [0.000, 0.000, 0.500]], "magmom_total_mub_per_atom": 0.000, "raw_formation_energy_ev_per_fu": -0.816, "dos_at_fermi_per_ev_cell": 5.92, "dft_energy_ev_per_atom": -4.8134}

=====

{"formula": "Sr6Al2In", "functional": "PBE", "state": "optimized geometry", "lattice_angstrom": [[1.423, 9.152, -3.018], [2.600, -6.379, -6.888], [-9.393, -1.818, 1.834]], "species": ["Sr", "Sr", "Sr", "Sr", "Sr", "Sr", "Sr", "Sr", "Sr", "Sr", "Sr", "Sr", "Al", "Al", "Al", "Al", "In", "In"], "fractional_positions": [[0.706, 0.033, 0.328], [0.294, 0.967, 0.672], [0.912, 0.730, 0.181], [0.549, 0.730, 0.819], [0.801, 0.753, 0.553], [0.451, 0.270, 0.181], [0.199, 0.247, 0.447], [0.088, 0.270, 0.819], [0.199, 0.753, 0.952], [0.294, 0.622, 0.328], [0.801, 0.247, 0.048], [0.706, 0.378, 0.672], [0.500, 0.610, 0.110], [0.364, 0.000, 0.364], [0.636, 0.000, 0.636], [0.500, 0.390, 0.890], [0.000, 0.500, 0.500], [0.000, 0.000, 0.000]], "magmom_total_mub_per_atom": 0.123, "dos_at_fermi_per_ev_cell": 24.07, "dft_energy_ev_per_atom": -2.4108, "formation_enthalpy_0k_ev_per_atom": -0.15}

=====

{"formula": "Na2CdGaH", "functional": "PBE", "state": "optimized geometry", "lattice_angstrom": [[-4.301, -1.087, -1.134], [0.257, -3.749, 2.618], [-1.585, 2.449, 3.663]], "species": ["Cd", "Ga", "Na", "Na", "H"], "fractional_positions": [[0.500, 0.500, 0.500], [0.000, 0.000, 0.500], [0.500, 0.000, 0.000], [0.000, 0.500, 0.000], [0.000, 0.000, 0.000]], "magmom_total_mub_per_atom": 0.000, "dos_at_fermi_per_ev_cell": 1.39, "dft_energy_ev_per_atom": -1.9551, "e_above_lowest_polymorph_ev_per_atom": 0.000}

=====

{"formula": "BaLa3Mo", "functional": "PBE", "state": "optimized geometry", "lattice_angstrom": [[5.755, 0.000, 0.000], [0.000, 5.755, 0.000], [0.000, 0.000, 5.755]], "species": ["La", "La", "La", "Ba", "Mo"], "fractional_positions": [[0.500, 0.000, 0.000], [0.000, 0.000, 0.500], [0.000, 0.500, 0.000], [0.500, 0.500, 0.500], [0.000, 0.000, 0.000]], "magmom_total_mub_per_atom": 0.000, "dos_at_fermi_per_ev_cell": 6.79, "dft_energy_ev_per_atom": -5.2676, "formation_enthalpy_0k_ev_per_atom": 0.24}

=====

{"formula": "Ac2GeI", "functional": "PBE", "state": "optimized geometry", "lattice_angstrom": [[-2.349, 2.051, 2.435], [-2.587, -2.993, 0.025], [3.951, -3.361, 6.641]], "species": ["I", "Ac", "Ac", "Ge"], "fractional_positions": [[0.500, 0.500, 0.500], [0.000, 0.000, 0.786], [0.000, 0.000, 0.214], [0.500, 0.500, 0.000]], "magmom_total_mub_per_atom": 0.000, "raw_formation_energy_ev_per_fu": -3.134, "dos_at_fermi_per_ev_cell": 4.63, "dft_energy_ev_per_atom": -4.3796, "e_above_lowest_polymorph_ev_per_atom": 0.229}

=====

{"formula": "Ac2CoH5", "functional": "PBE", "state": "optimized geometry", "lattice_angstrom": [[5.296, 0.000, 0.000], [0.000, 5.296, 0.000], [-2.648, -2.648, 3.857]], "species": ["Ac", "Ac", "H", "H", "H", "H", "H", "Co"], "fractional_positions": [[0.249, 0.749, 0.499], [0.749, 0.249, 0.499], [0.223, 0.223, 0.010], [0.771, 0.771, 0.542], [0.223, 0.787, 0.010], [0.787, 0.223, 0.010], [0.787, 0.787, 0.010], [0.988, 0.988, 0.975]], "magmom_total_mub_per_atom": 0.000, "dos_at_fermi_per_ev_cell": 3.93, "dft_energy_ev_per_atom": -4.4225}

=====

{"formula": "BeBr2Cl", "functional": "PBE", "state": "optimized geometry", "lattice_angstrom": [[6.900, 0.072, -0.023], [6.235, 2.956, -0.023], [4.026, 0.928, 6.414]], "species": ["Be", "Br", "Br", "Cl"], "fractional_positions": [[0.761, 0.761, 0.741], [0.253, 0.253, 0.246], [0.105, 0.105, 0.889], [0.381, 0.381, 0.625]], "magmom_total_mub_per_atom": 0.000, "raw_formation_energy_ev_per_fu": -2.271, "dos_at_fermi_per_ev_cell": 1.09, "dft_energy_ev_per_atom": -2.7974, "e_above_lowest_polymorph_ev_per_atom": 0.128}

=====

{"formula": "CaLa2Cu", "functional": "PBE", "state": "optimized geometry", "lattice_angstrom": [[-1.111, 1.984, -6.620], [0.513, -1.202, -6.876], [-4.583, -2.161, -2.180]], "species": ["Ca", "La", "La", "Cu"], "fractional_positions": [[0.750, 0.750, 0.750], [0.948, 0.948, 0.051], [0.552, 0.552, 0.449], [0.250, 0.250, 0.250]], "magmom_total_mub_per_atom": 0.000, "dos_at_fermi_per_ev_cell": 5.69, "dft_energy_ev_per_atom": -3.9890, "formation_enthalpy_0k_ev_per_atom": 0.00, "e_above_lowest_polymorph_ev_per_atom": 0.030}